No. 1
Below is an optimized crystal structure of BaHfAs2Ru, with properties calculated at the GGA-PBEsol level.

Values from the calculation:
symmetry	P4/mmm, No. 123
theoretical density	6.31	g cm⁻³
formation energy	1.093	eV per atom

Cell: 5.022 5.022 5.911 Å, 90.00 90.00 90.00°
Site moments in Bohr magnetons follow the coordinates.
Fractional coordinates of all 5 atoms:
As: 0.000 0.500 0.000  -0.01
As: 0.500 0.000 0.000  -0.01
Hf: 0.000 0.000 0.000  0.03
Ru: 0.500 0.500 0.500  2.33
Ba: 0.000 0.000 0.500  -0.03

No. 2
Below is an optimized crystal structure of KTa2Re2, with properties calculated at the GGA-PBEsol level.

Values from the calculation:
symmetry	I4/mmm, No. 139
theoretical density	11.56	g cm⁻³
formation energy	0.888	eV per atom

Cell: 4.185 4.185 6.999 Å, 107.40 107.40 90.00°
Fractional coordinates of all 5 atoms:
Ta: 0.366 0.366 0.732
Ta: 0.634 0.634 0.268
Re: 0.250 0.750 0.500
Re: 0.750 0.250 0.500
K: 0.000 0.000 0.000

No. 3
Below is an optimized crystal structure of CaHf3B, with properties calculated at the GGA-PBEsol level.

Values from the calculation:
symmetry	Pm-3m, No. 221
theoretical density	9.27	g cm⁻³
formation energy	0.150	eV per atom

Cell: 4.718 4.718 4.718 Å, 90.00 90.00 90.00°
Fractional coordinates of all 5 atoms:
B: 0.000 0.000 0.000
Hf: 0.500 0.000 0.000
Hf: 0.000 0.500 0.000
Hf: 0.000 0.000 0.500
Ca: 0.500 0.500 0.500

No. 4
Below is an optimized crystal structure of Ce3Al, with properties calculated at the GGA-PBEsol level.

Values from the calculation:
symmetry	P6_3/mmc, No. 194
theoretical density	7.67	g cm⁻³
formation energy	-0.119	eV per atom
offset from the most stable computed form	0.0066	eV/atom

Cell: 5.222 6.545 6.545 Å, 120.00 90.00 90.00°
Fractional coordinates of all 8 atoms:
Ce: 0.250 0.375 0.187
Ce: 0.750 0.187 0.813
Ce: 0.750 0.187 0.375
Ce: 0.250 0.813 0.625
Ce: 0.250 0.813 0.187
Ce: 0.750 0.625 0.813
Al: 0.750 0.667 0.333
Al: 0.250 0.333 0.667

No. 5
Below is an optimized crystal structure of Y2InHg2, with properties calculated at the GGA-PBEsol level.

Values from the calculation:
symmetry	P4/mbm, No. 127
theoretical density	9.40	g cm⁻³
formation energy	-0.568	eV per atom

Cell: 3.962 7.864 7.864 Å, 90.00 90.00 90.00°
Fractional coordinates of all 10 atoms:
Hg: 0.000 0.870 0.630
Hg: 0.000 0.130 0.370
Hg: 0.000 0.370 0.870
Hg: 0.000 0.630 0.130
Y: 0.500 0.829 0.329
Y: 0.500 0.171 0.671
Y: 0.500 0.671 0.829
Y: 0.500 0.329 0.171
In: 0.000 0.000 0.000
In: 0.000 0.500 0.500

No. 6
Below is an optimized crystal structure of Sr3SiRu, with properties calculated at the GGA-PBEsol level.

Values from the calculation:
symmetry	Pm-3m, No. 221
theoretical density	4.15	g cm⁻³
uncorrected formation energy	0.499	eV/atom

Cell: 5.392 5.392 5.392 Å, 90.00 90.00 90.00°
Site moments in Bohr magnetons follow the coordinates.
Fractional coordinates of all 5 atoms:
Sr: 0.000 0.000 0.500  0.01
Sr: 0.500 0.000 0.000  0.01
Sr: 0.000 0.500 0.000  0.01
Si: 0.500 0.500 0.500  0.13
Ru: 0.000 0.000 0.000  0.06

No. 7
Below is an optimized crystal structure of CuTe2Au, with properties calculated at the GGA-PBEsol level.

Values from the calculation:
symmetry	Amm2, No. 38
theoretical density	9.81	g cm⁻³
uncorrected formation energy	-0.017	eV/atom

Cell: 4.441 4.441 4.551 Å, 90.00 90.00 103.50°
Fractional coordinates of all 4 atoms:
Cu: 0.270 0.729 0.500
Te: 0.687 0.313 0.500
Te: 0.069 0.931 0.000
Au: 0.474 0.526 0.000

No. 8
Below is an optimized crystal structure of Mg3NbIn, with properties calculated at the GGA-PBEsol level.

Values from the calculation:
symmetry	Pm-3m, No. 221
theoretical density	3.40	g cm⁻³
formation energy	1.108	eV per atom

Cell: 5.155 5.155 5.155 Å, 90.00 90.00 90.00°
Site moments in Bohr magnetons follow the coordinates.
Fractional coordinates of all 5 atoms:
In: 0.000 0.000 0.000  0.00
Mg: 0.000 0.500 0.000  0.00
Mg: 0.500 0.000 0.000  0.00
Mg: 0.000 0.000 0.500  0.00
Nb: 0.500 0.500 0.500  2.60

No. 9
Below is an optimized crystal structure of DyEr3, with properties calculated at the GGA-PBEsol level.

Values from the calculation:
symmetry	P6_3/mmc, No. 194
theoretical density	9.44	g cm⁻³
formation energy	0.008	eV per atom

Cell: 5.472 7.021 7.021 Å, 120.00 90.00 90.00°
Fractional coordinates of all 8 atoms:
Er: 0.750 0.834 0.667
Er: 0.250 0.166 0.333
Er: 0.750 0.333 0.166
Er: 0.750 0.834 0.166
Er: 0.250 0.166 0.834
Er: 0.250 0.667 0.834
Dy: 0.250 0.667 0.333
Dy: 0.750 0.333 0.667

No. 10
Below is an optimized crystal structure of La3Tc, with properties calculated at the GGA-PBEsol level.

Values from the calculation:
symmetry	Pnma, No. 62
theoretical density	7.38	g cm⁻³
formation energy	0.007	eV per atom

Cell: 6.503 7.234 9.841 Å, 90.00 90.00 90.00°
Fractional coordinates of all 16 atoms:
La: 0.332 0.169 0.066
La: 0.668 0.831 0.934
La: 0.134 0.939 0.750
La: 0.168 0.669 0.434
La: 0.832 0.331 0.566
La: 0.634 0.561 0.250
La: 0.866 0.061 0.250
La: 0.332 0.169 0.434
La: 0.168 0.669 0.066
La: 0.832 0.331 0.934
La: 0.668 0.831 0.566
La: 0.366 0.439 0.750
Tc: 0.043 0.379 0.250
Tc: 0.543 0.121 0.750
Tc: 0.457 0.879 0.250
Tc: 0.957 0.621 0.750

No. 11
Below is an optimized crystal structure of ZrPtW2, with properties calculated at the GGA-PBEsol level.

Values from the calculation:
symmetry	I4/mmm, No. 139
theoretical density	16.19	g cm⁻³
formation energy	-0.028	eV per atom
offset from the most stable computed form	0.0629	eV/atom

Cell: 3.907 3.907 5.190 Å, 112.11 112.11 90.00°
Fractional coordinates of all 4 atoms:
W: 0.750 0.250 0.500
W: 0.250 0.750 0.500
Pt: 0.000 0.000 0.000
Zr: 0.500 0.500 0.000

No. 12
Below is an optimized crystal structure of TaAl3Zn, with properties calculated at the GGA-PBEsol level.

Values from the calculation:
symmetry	Pm-3m, No. 221
theoretical density	5.97	g cm⁻³
formation energy	0.942	eV per atom

Cell: 4.499 4.499 4.499 Å, 90.00 90.00 90.00°
Fractional coordinates of all 5 atoms:
Ta: 0.500 0.500 0.500
Al: 0.500 0.000 0.000
Al: 0.000 0.000 0.500
Al: 0.000 0.500 0.000
Zn: 0.000 0.000 0.000

No. 13
Below is an optimized crystal structure of LiPS2I, with properties calculated at the GGA-PBEsol level.

Values from the calculation:
symmetry	P4/mmm, No. 123
theoretical density	3.35	g cm⁻³
uncorrected formation energy	0.611	eV/atom

Cell: 4.112 4.112 6.710 Å, 90.00 90.00 90.00°
Site moments in Bohr magnetons follow the coordinates.
Fractional coordinates of all 5 atoms:
S: 0.500 0.000 0.000  0.04
S: 0.000 0.500 0.000  0.04
I: 0.000 0.000 0.500  0.01
P: 0.500 0.500 0.500  0.39
Li: 0.000 0.000 0.000  0.00

No. 14
Below is an optimized crystal structure of SrPbS2, with properties calculated at the GGA-PBEsol level.

Values from the calculation:
symmetry	R-3m, No. 166
theoretical density	5.67	g cm⁻³
uncorrected formation energy	-1.345	eV/atom

Cell: 4.199 4.199 7.296 Å, 73.28 73.28 60.00°
Fractional coordinates of all 4 atoms:
S: 0.249 0.249 0.252
S: 0.751 0.751 0.748
Sr: 0.500 0.500 0.500
Pb: 0.000 0.000 0.000

No. 15
Below is an optimized crystal structure of TiAlGeAu2, with properties calculated at the GGA-PBEsol level.

Values from the calculation:
symmetry	P4/mmm, No. 123
theoretical density	8.54	g cm⁻³
formation energy	0.443	eV per atom

Cell: 4.698 4.698 4.769 Å, 90.00 90.00 90.00°
Fractional coordinates of all 5 atoms:
Al: 0.500 0.500 0.500
Au: 0.500 0.000 0.000
Au: 0.000 0.500 0.000
Ge: 0.000 0.000 0.000
Ti: 0.000 0.000 0.500

No. 16
Below is an optimized crystal structure of K2YHg, with properties calculated at the GGA-PBEsol level.

Values from the calculation:
symmetry	R3m, No. 160
theoretical density	3.64	g cm⁻³
formation energy	0.066	eV per atom

Cell: 4.027 4.027 12.158 Å, 80.47 80.47 60.00°
Fractional coordinates of all 4 atoms:
K: 0.759 0.759 0.723
K: 0.978 0.978 0.065
Y: 0.522 0.522 0.433
Hg: 0.241 0.241 0.278

No. 17
Below is an optimized crystal structure of NiRh2, with properties calculated at the GGA-PBEsol level.

Values from the calculation:
symmetry	Cm, No. 8
theoretical density	11.54	g cm⁻³
formation energy	0.078	eV per atom
offset from the most stable computed form	0.0437	eV/atom

Cell: 2.648 4.961 6.205 Å, 103.80 90.00 105.48°
Site moments in Bohr magnetons follow the coordinates.
Fractional coordinates of all 6 atoms:
Rh: 0.389 0.778 0.275  0.45
Rh: 0.720 0.441 0.949  0.33
Rh: 0.057 0.114 0.609  0.28
Rh: 0.334 0.669 0.669  0.31
Ni: 0.666 0.331 0.329  0.80
Ni: 0.001 0.001 0.004  0.72

No. 18
Below is an optimized crystal structure of In3Pb, with properties calculated at the GGA-PBEsol level.

Values from the calculation:
symmetry	I4/mmm, No. 139
theoretical density	8.64	g cm⁻³
formation energy	0.014	eV per atom

Cell: 4.812 4.812 9.766 Å, 104.26 104.26 90.00°
Fractional coordinates of all 8 atoms:
Pb: 0.374 0.374 0.749
Pb: 0.626 0.626 0.251
In: 0.125 0.125 0.249
In: 0.000 0.500 0.000
In: 0.875 0.875 0.751
In: 0.250 0.750 0.500
In: 0.750 0.250 0.500
In: 0.500 0.000 0.000

No. 19
Below is an optimized crystal structure of Cr2AgRh, with properties calculated at the GGA-PBEsol level.

Values from the calculation:
symmetry	Cmmm, No. 65
theoretical density	10.02	g cm⁻³
formation energy	0.415	eV per atom

Cell: 2.615 4.634 4.634 Å, 111.77 90.00 90.00°
Fractional coordinates of all 4 atoms:
Cr: 0.000 0.000 0.500
Cr: 0.000 0.500 0.000
Ag: 0.500 0.500 0.500
Rh: 0.500 0.000 0.000

No. 20
Below is an optimized crystal structure of KCr2Tc, with properties calculated at the GGA-PBEsol level.

Values from the calculation:
symmetry	P4mm, No. 99
theoretical density	5.56	g cm⁻³
formation energy	0.886	eV per atom
offset from the most stable computed form	0.0134	eV/atom

Cell: 2.897 2.897 8.571 Å, 90.00 90.00 90.00°
Site moments in Bohr magnetons follow the coordinates.
Fractional coordinates of all 4 atoms:
K: 0.000 0.000 0.497  0.05
Cr: 0.500 0.500 0.164  2.83
Cr: 0.000 0.000 0.000  -0.85
Tc: 0.500 0.500 0.839  0.43